Entry 1:
# PBE Tm8CS4N3, relaxed
data_Tm8CS4N3
_chemical_formula_sum 'Tm24 C3 S12 N9'
_space_group_name_H-M_alt 'R -3 m'
_space_group_IT_number 166
_space_group_name_Hall '-R 3 2"'
_cell_length_a 7.1657
_cell_length_b 7.1657
_cell_length_c 18.4624
_cell_angle_alpha 90.00
_cell_angle_beta 90.00
_cell_angle_gamma 120.00
loop_
_atom_site_label
_atom_site_fract_x
_atom_site_fract_y
_atom_site_fract_z
Tm1 0.0000 0.0000 0.2363
Tm2 0.0006 0.5003 0.2368
C1 0.0000 0.0000 0.5000
S1 0.0000 0.0000 0.0000
S2 0.0000 0.5000 0.0000
N1 0.0000 0.5000 0.5000
# **Uncorrected formation energy**: -1766 meV per atom

Entry 2:
# PBE Er5RuRh2, relaxed
data_Er5RuRh2
_chemical_formula_sum 'Er10 Ru2 Rh4'
_space_group_name_H-M_alt 'P b a m'
_space_group_IT_number 55
_space_group_name_Hall '-P 2 2ab'
_cell_length_a 7.4576
_cell_length_b 11.8095
_cell_length_c 4.2109
_cell_angle_alpha 90.00
_cell_angle_beta 90.00
_cell_angle_gamma 90.00
loop_
_atom_site_label
_atom_site_fract_x
_atom_site_fract_y
_atom_site_fract_z
Er1 0.0000 0.0000 0.0000
Er2 0.1633 0.2960 0.0000
Er3 0.1766 0.5907 0.5000
Ru1 0.0000 0.5000 0.0000
Rh1 0.0417 0.8322 0.5000
# **Energy relative to the elements**: -4.93 eV/f.u.

Entry 3:
# PBE Na5B7C3, relaxed
data_Na5B7C3
_chemical_formula_sum 'Na20 B28 C12'
_space_group_name_H-M_alt 'C 1 2/m 1'
_space_group_IT_number 12
_space_group_name_Hall '-C 2y'
_cell_length_a 17.8221
_cell_length_b 2.8496
_cell_length_c 13.3366
_cell_angle_alpha 90.00
_cell_angle_beta 113.24
_cell_angle_gamma 90.00
loop_
_atom_site_label
_atom_site_fract_x
_atom_site_fract_y
_atom_site_fract_z
Na1 0.0000 0.0000 0.0000
Na2 0.0000 0.0000 0.5000
Na3 0.0998 0.5000 0.2000
Na4 0.0995 0.5000 0.7010
Na5 0.1989 0.0000 0.4002
Na6 0.1990 0.0000 0.9016
B1 0.0295 0.0000 0.8100
B2 0.0645 0.5000 0.3783
B3 0.0691 0.5000 0.8888
B4 0.1327 0.5000 0.5164
B5 0.1390 0.5000 0.0278
B6 0.1733 0.0000 0.5973
B7 0.2335 0.0000 0.2161
C1 0.0336 0.0000 0.3151
C2 0.1699 0.0000 0.0887
C3 0.2355 0.0000 0.7214
# **ΔE to the lowest computed polymorph**: 13.0 meV per atom
# **Energy relative to the elements**: 1.89 eV/f.u.

Number 1: DFT total energy -7.1716 eV per atom, D(E_F) 0.198 states/eV per atom. Number 2: DFT total energy -6.4653 eV per atom, D(E_F) 0.500 states/eV per atom. Number 3: DFT total energy -5.2748 eV per atom, D(E_F) 0.465 states/eV per atom.